[1]
# LiPmSb

Crystalline LiPmSb at its relaxed geometry (GGA-PBE, Alexandria via LeMat-Bulk).

## Properties
calculated volume = 74.20 Å³/f.u.
energy above the most stable polymorph in this dataset = 0 meV/atom
crystal system = tetragonal
energy relative to the elements, uncorrected = -882 meV per atom
E_tot = -4.477 eV/atom

The structure in extended XYZ format:
```
6
Lattice="4.407 0.000 0.000 0.000 4.407 0.000 0.000 0.000 7.641" Properties=species:S:1:pos:R:3 pbc="T T T"
Li 1.102 3.305 0.000
Li 3.305 1.102 0.000
Pm 1.102 1.102 2.642
Pm 3.305 3.305 4.999
Sb 1.102 1.102 5.856
Sb 3.305 3.305 1.785
```

***

[2]
# LiPm2Sb

Crystalline LiPm2Sb at its relaxed geometry (GGA-PBE, Alexandria via LeMat-Bulk).

## Properties
calculated volume = 107.67 Å³/f.u.
energy above the most stable polymorph in this dataset = 0 meV/atom
crystal system = orthorhombic
energy relative to the elements, uncorrected = -564 meV per atom
E_tot = -4.449 eV/atom

The structure in extended XYZ format:
```
8
Lattice="-3.489 4.269 3.614 3.489 -4.269 3.614 3.489 4.269 -3.614" Properties=species:S:1:pos:R:3 pbc="T T T"
Li 0.000 2.134 0.333
Li 3.489 2.134 3.281
Pm 1.745 4.075 -1.807
Pm 1.745 -0.194 1.807
Pm -1.745 4.463 1.807
Pm 1.745 4.463 1.807
Sb 3.489 2.134 0.283
Sb 0.000 2.134 3.331
```

***

[3]
# LiPmSb

Crystalline LiPmSb at its relaxed geometry (GGA-PBE, Alexandria via LeMat-Bulk).

## Properties
calculated volume = 73.71 Å³/f.u.
energy above the most stable polymorph in this dataset = 45 meV/atom
crystal system = hexagonal
energy relative to the elements, uncorrected = -837 meV per atom
E_tot = -4.433 eV/atom

The structure in extended XYZ format:
```
3
Lattice="4.500 0.000 0.000 -2.250 3.897 0.000 0.000 0.000 4.204" Properties=species:S:1:pos:R:3 pbc="T T T"
Li 0.000 0.000 0.000
Pm 2.250 1.299 2.102
Sb 0.000 2.598 0.000
```

***

[4]
# Li4PmSb2

Crystalline Li4PmSb2 at its relaxed geometry (GGA-PBE, Alexandria via LeMat-Bulk).

## Properties
calculated volume = 148.60 Å³/f.u.
crystal system = trigonal
energy relative to the elements, uncorrected = -739 meV per atom
E_tot = -3.689 eV/atom

The structure in extended XYZ format:
```
7
Lattice="2.289 1.322 8.186 -2.289 1.322 8.186 0.000 -2.643 8.186" Properties=species:S:1:pos:R:3 pbc="T T T"
Li 0.000 0.000 1.741
Li 0.000 0.000 8.877
Li 0.000 0.000 15.681
Li 0.000 0.000 22.818
Pm 0.000 0.000 12.279
Sb 0.000 0.000 6.045
Sb 0.000 0.000 18.513
```

***

[5]
# Li2PmSb

Crystalline Li2PmSb at its relaxed geometry (GGA-PBE, Alexandria via LeMat-Bulk).

## Properties
calculated volume = 80.86 Å³/f.u.
energy above the most stable polymorph in this dataset = 116 meV/atom
crystal system = cubic
energy relative to the elements, uncorrected = -428 meV per atom
E_tot = -3.603 eV/atom

The structure in extended XYZ format:
```
4
Lattice="0.000 3.432 3.432 3.432 0.000 3.432 3.432 3.432 0.000" Properties=species:S:1:pos:R:3 pbc="T T T"
Li 1.716 1.716 1.716
Li 5.148 5.148 5.148
Pm 0.000 0.000 0.000
Sb 3.432 3.432 3.432
```

***

[6]
# Li3PmSb3

Crystalline Li3PmSb3 at its relaxed geometry (GGA-PBE, Alexandria via LeMat-Bulk).

## Properties
calculated volume = 204.34 Å³/f.u.
crystal system = trigonal
energy relative to the elements, uncorrected = -492 meV per atom
E_tot = -3.757 eV/atom

The structure in extended XYZ format:
```
14
Lattice="4.676 2.700 5.396 -4.676 2.700 5.396 0.000 -5.399 5.396" Properties=species:S:1:pos:R:3 pbc="T T T"
Li -0.972 -2.455 6.842
Li -2.612 -0.385 9.347
Li -1.640 2.069 6.842
Li 1.640 -2.069 9.347
Li 2.612 0.385 6.842
Li 0.972 2.455 9.347
Pm 0.000 0.000 3.266
Pm 0.000 0.000 12.923
Sb -3.841 0.259 6.827
Sb -2.144 -3.197 9.361
Sb 1.697 -3.456 6.827
Sb -1.697 3.456 9.361
Sb 2.144 3.197 6.827
Sb 3.841 -0.259 9.361
```

***

[7]
# LiPmSb

Crystalline LiPmSb at its relaxed geometry (GGA-PBE, Alexandria via LeMat-Bulk).

## Properties
calculated volume = 78.97 Å³/f.u.
energy above the most stable polymorph in this dataset = 350 meV/atom
crystal system = tetragonal
energy relative to the elements, uncorrected = -532 meV per atom
E_tot = -4.128 eV/atom

The structure in extended XYZ format:
```
3
Lattice="-2.111 2.111 4.430 2.111 -2.111 4.430 2.111 2.111 -4.430" Properties=species:S:1:pos:R:3 pbc="T T T"
Li 0.000 0.000 0.000
Pm 0.000 0.000 2.989
Sb 0.000 0.000 6.113
```

***

[8]
# LiPmSb4

Crystalline LiPmSb4 at its relaxed geometry (GGA-PBE, Alexandria via LeMat-Bulk).

## Properties
calculated volume = 175.63 Å³/f.u.
crystal system = cubic
energy relative to the elements, uncorrected = -123 meV per atom
E_tot = -3.982 eV/atom

The structure in extended XYZ format:
```
6
Lattice="0.000 4.445 4.445 4.445 0.000 4.445 4.445 4.445 0.000" Properties=species:S:1:pos:R:3 pbc="T T T"
Li 0.000 0.000 0.000
Pm 2.222 2.222 2.222
Sb 5.564 3.325 3.325
Sb 3.325 5.564 3.325
Sb 3.325 3.325 5.564
Sb 5.564 5.564 5.564
```

***

[9]
# Li2PmSm2Sb2

Crystalline Li2PmSm2Sb2 at its relaxed geometry (GGA-PBE, Alexandria via LeMat-Bulk).

## Properties
calculated volume = 179.96 Å³/f.u.
crystal system = trigonal
energy relative to the elements, uncorrected = -599 meV per atom
E_tot = -4.350 eV/atom

The structure in extended XYZ format:
```
7
Lattice="2.386 1.378 9.123 -2.386 1.378 9.123 0.000 -2.755 9.123" Properties=species:S:1:pos:R:3 pbc="T T T"
Li 0.000 0.000 2.560
Li 0.000 0.000 24.809
Pm 0.000 0.000 13.685
Sm 0.000 0.000 10.124
Sm 0.000 0.000 17.246
Sb 0.000 0.000 6.452
Sb 0.000 0.000 20.917
```

***

[10]
# LiPmSmSb

Crystalline LiPmSmSb at its relaxed geometry (GGA-PBE, Alexandria via LeMat-Bulk).

## Properties
calculated volume = 106.05 Å³/f.u.
crystal system = cubic
energy relative to the elements, uncorrected = -498 meV per atom
E_tot = -4.375 eV/atom

The structure in extended XYZ format:
```
4
Lattice="0.000 3.757 3.757 3.757 0.000 3.757 3.757 3.757 0.000" Properties=species:S:1:pos:R:3 pbc="T T T"
Li 0.000 0.000 0.000
Pm 1.878 1.878 1.878
Sm 5.635 5.635 5.635
Sb 3.757 3.757 3.757
```

***

[11]
# SrLi2Pm2Sb2

Crystalline SrLi2Pm2Sb2 at its relaxed geometry (GGA-PBE, Alexandria via LeMat-Bulk).

## Properties
calculated volume = 194.27 Å³/f.u.
crystal system = trigonal
energy relative to the elements, uncorrected = -616 meV per atom
E_tot = -3.938 eV/atom

The structure in extended XYZ format:
```
7
Lattice="2.421 1.398 9.566 -2.421 1.398 9.566 0.000 -2.796 9.566" Properties=species:S:1:pos:R:3 pbc="T T T"
Sr 0.000 0.000 0.000
Li 0.000 0.000 11.901
Li 0.000 0.000 16.797
Pm 0.000 0.000 3.811
Pm 0.000 0.000 24.887
Sb 0.000 0.000 7.382
Sb 0.000 0.000 21.316
```

***

[12]
# Li2Tb2PmSb2

Crystalline Li2Tb2PmSb2 at its relaxed geometry (GGA-PBE, Alexandria via LeMat-Bulk).

## Properties
calculated volume = 175.63 Å³/f.u.
crystal system = trigonal
energy relative to the elements, uncorrected = -577 meV per atom
E_tot = -4.304 eV/atom

The structure in extended XYZ format:
```
7
Lattice="2.380 1.374 8.954 -2.380 1.374 8.954 0.000 -2.748 8.954" Properties=species:S:1:pos:R:3 pbc="T T T"
Li 0.000 0.000 2.451
Li 0.000 0.000 24.410
Tb 0.000 0.000 9.922
Tb 0.000 0.000 16.939
Pm 0.000 0.000 13.430
Sb 0.000 0.000 6.384
Sb 0.000 0.000 20.477
```

***

[13]
# Li2TbPm2Sb2

Crystalline Li2TbPm2Sb2 at its relaxed geometry (GGA-PBE, Alexandria via LeMat-Bulk).

## Properties
calculated volume = 177.74 Å³/f.u.
crystal system = trigonal
energy relative to the elements, uncorrected = -587 meV per atom
E_tot = -4.330 eV/atom

The structure in extended XYZ format:
```
7
Lattice="2.381 1.374 9.053 -2.381 1.374 9.053 0.000 -2.749 9.053" Properties=species:S:1:pos:R:3 pbc="T T T"
Li 0.000 0.000 2.667
Li 0.000 0.000 24.493
Tb 0.000 0.000 13.580
Pm 0.000 0.000 10.079
Pm 0.000 0.000 17.080
Sb 0.000 0.000 6.314
Sb 0.000 0.000 20.846
```

***

[14]
# LiTbPmSb

Crystalline LiTbPmSb at its relaxed geometry (GGA-PBE, Alexandria via LeMat-Bulk).

## Properties
calculated volume = 103.64 Å³/f.u.
crystal system = cubic
energy relative to the elements, uncorrected = -476 meV per atom
E_tot = -4.330 eV/atom

The structure in extended XYZ format:
```
4
Lattice="0.000 3.728 3.728 3.728 0.000 3.728 3.728 3.728 0.000" Properties=species:S:1:pos:R:3 pbc="T T T"
Li 0.000 0.000 0.000
Tb 5.592 5.592 5.592
Pm 1.864 1.864 1.864
Sb 3.728 3.728 3.728
```

***

[15]
# Li2PmTm2Sb2

Crystalline Li2PmTm2Sb2 at its relaxed geometry (GGA-PBE, Alexandria via LeMat-Bulk).

## Properties
calculated volume = 171.53 Å³/f.u.
crystal system = trigonal
energy relative to the elements, uncorrected = -539 meV per atom
E_tot = -4.220 eV/atom

The structure in extended XYZ format:
```
7
Lattice="2.365 1.366 8.849 -2.365 1.366 8.849 0.000 -2.731 8.849" Properties=species:S:1:pos:R:3 pbc="T T T"
Li 0.000 0.000 2.349
Li 0.000 0.000 24.199
Pm 0.000 0.000 13.274
Tm 0.000 0.000 9.771
Tm 0.000 0.000 16.777
Sb 0.000 0.000 6.339
Sb 0.000 0.000 20.208
```

***

[16]
# LiPmTmSb

Crystalline LiPmTmSb at its relaxed geometry (GGA-PBE, Alexandria via LeMat-Bulk).

## Properties
calculated volume = 101.36 Å³/f.u.
crystal system = cubic
energy relative to the elements, uncorrected = -431 meV per atom
E_tot = -4.246 eV/atom

The structure in extended XYZ format:
```
4
Lattice="0.000 3.701 3.701 3.701 0.000 3.701 3.701 3.701 0.000" Properties=species:S:1:pos:R:3 pbc="T T T"
Li 0.000 0.000 0.000
Pm 1.850 1.850 1.850
Tm 5.551 5.551 5.551
Sb 3.701 3.701 3.701
```

***

[17]
# Li2PmY2Sb2

Crystalline Li2PmY2Sb2 at its relaxed geometry (GGA-PBE, Alexandria via LeMat-Bulk).

## Properties
calculated volume = 175.55 Å³/f.u.
crystal system = trigonal
energy relative to the elements, uncorrected = -590 meV per atom
E_tot = -4.840 eV/atom

The structure in extended XYZ format:
```
7
Lattice="2.372 1.370 9.006 -2.372 1.370 9.006 0.000 -2.739 9.006" Properties=species:S:1:pos:R:3 pbc="T T T"
Li 0.000 0.000 2.478
Li 0.000 0.000 24.541
Pm 0.000 0.000 13.509
Y 0.000 0.000 9.975
Y 0.000 0.000 17.044
Sb 0.000 0.000 6.415
Sb 0.000 0.000 20.604
```

***

[18]
# LiPmYSb

Crystalline LiPmYSb at its relaxed geometry (GGA-PBE, Alexandria via LeMat-Bulk).

## Properties
calculated volume = 103.27 Å³/f.u.
crystal system = cubic
energy relative to the elements, uncorrected = -486 meV per atom
E_tot = -4.799 eV/atom

The structure in extended XYZ format:
```
4
Lattice="0.000 3.724 3.724 3.724 0.000 3.724 3.724 3.724 0.000" Properties=species:S:1:pos:R:3 pbc="T T T"
Li 0.000 0.000 0.000
Pm 1.862 1.862 1.862
Y 5.586 5.586 5.586
Sb 3.724 3.724 3.724
```

***

[19]
# LiPmZnSb

Crystalline LiPmZnSb at its relaxed geometry (GGA-PBE, Alexandria via LeMat-Bulk).

## Properties
calculated volume = 94.13 Å³/f.u.
crystal system = cubic
energy relative to the elements, uncorrected = -461 meV per atom
E_tot = -3.476 eV/atom

The structure in extended XYZ format:
```
4
Lattice="0.000 3.611 3.611 3.611 0.000 3.611 3.611 3.611 0.000" Properties=species:S:1:pos:R:3 pbc="T T T"
Li 0.000 0.000 0.000
Pm 3.611 3.611 3.611
Zn 1.805 1.805 1.805
Sb 5.416 5.416 5.416
```

***

[20]
# Li3Pm12Sc5

Crystalline Li3Pm12Sc5 at its relaxed geometry (GGA-PBE, Alexandria via LeMat-Bulk).

## Properties
calculated volume = 717.08 Å³/f.u.
E_form = 0.937 eV per atom
crystal system = cubic
E_tot = -3.784 eV/atom

The structure in extended XYZ format:
```
80
Lattice="-8.951 8.951 8.951 8.951 -8.951 8.951 8.951 8.951 -8.951" Properties=species:S:1:pos:R:3 pbc="T T T"
Li 4.475 2.238 0.000
Li 8.951 4.475 -2.238
Li 2.238 0.000 4.475
Li 11.188 0.000 4.475
Li 0.000 4.475 2.238
Li 4.475 -2.238 8.951
Li 4.475 11.188 0.000
Li 8.951 4.475 6.713
Li -2.238 8.951 4.475
Li 6.713 8.951 4.475
Li 0.000 4.475 11.188
Li 4.475 6.713 8.951
Pm 8.704 -1.498 2.634
Pm 13.673 -1.841 2.977
Pm 2.634 -0.247 1.498
Pm 10.792 5.973 -4.723
Pm 11.585 0.247 1.498
Pm 10.792 -2.977 4.723
Pm 1.498 2.634 -0.247
Pm 11.928 4.228 -1.841
Pm 5.973 4.723 -1.841
Pm 7.453 2.634 0.247
Pm -0.247 1.498 2.634
Pm 4.723 -1.841 5.973
Pm 8.704 7.453 -2.634
Pm 4.723 1.841 2.977
Pm 7.453 -2.634 8.704
Pm 5.973 -4.723 10.792
Pm 2.977 4.723 1.841
Pm 10.449 6.317 0.247
Pm 2.634 8.704 -1.498
Pm 10.792 2.977 4.228
Pm 1.841 2.977 4.723
Pm 2.634 0.247 7.453
Pm 4.723 10.792 -2.977
Pm 8.704 1.498 6.317
Pm 0.247 7.453 2.634
Pm 4.228 -1.841 11.928
Pm 6.317 8.704 1.498
Pm 7.109 5.973 4.228
Pm -1.841 5.973 4.723
Pm 6.317 0.247 10.449
Pm -1.498 2.634 8.704
Pm 5.973 4.228 7.109
Pm 2.977 13.673 -1.841
Pm 1.498 11.585 0.247
Pm 4.228 7.109 5.973
Pm 0.247 1.498 11.585
Pm 4.228 10.792 2.977
Pm 9.198 7.453 6.317
Pm 1.498 6.317 8.704
Pm 2.977 4.228 10.792
Pm -2.977 4.723 10.792
Pm 7.453 6.317 9.198
Pm -1.841 11.928 4.228
Pm -2.634 8.704 7.453
Pm -1.841 2.977 13.673
Pm 6.317 9.198 7.453
Pm -4.723 10.792 5.973
Pm 0.247 10.449 6.317
Sc 0.000 0.000 0.000
Sc 4.475 4.475 -4.475
Sc 4.475 -4.475 4.475
Sc 8.951 0.000 0.000
Sc 13.426 2.238 0.000
Sc 8.951 -4.475 6.713
Sc 6.713 8.951 -4.475
Sc 6.713 0.000 4.475
Sc 4.475 6.713 0.000
Sc 8.951 4.475 2.238
Sc -4.475 4.475 4.475
Sc 0.000 8.951 0.000
Sc 0.000 0.000 8.951
Sc 4.475 4.475 4.475
Sc 0.000 4.475 6.713
Sc 4.475 2.238 8.951
Sc 2.238 8.951 4.475
Sc 2.238 0.000 13.426
Sc 0.000 13.426 2.238
Sc -4.475 6.713 8.951
```